# AlTeI2N (GGA-PBE, relaxed)
data_AlTeI2N
_cell_length_a 5.086
_cell_length_b 5.086
_cell_length_c 4.860
_cell_angle_alpha 90.00
_cell_angle_beta 90.00
_cell_angle_gamma 90.00
_space_group_name_H-M_alt 'P 4/m m m'
_space_group_IT_number 123
_space_group_name_Hall '-P 4 2'
loop_
_atom_site_label
_atom_site_type_symbol
_atom_site_fract_x
_atom_site_fract_y
_atom_site_fract_z
_atom_site_occupancy
Al1 Al 0.000 0.000 0.000 1
Te1 Te 0.500 0.500 0.000 1
I1 I 0.000 0.500 0.500 1
N1 N 0.500 0.500 0.500 1
# * energy above the lowest structure with this stoichiometry: 555 meV/atom
# * total moment: 0.00 μB per atom
# * total DFT energy (no corrections): -13.974 eV/f.u.